La2SmN (PBE-GGA, relaxed); E_form (uncorrected) = -0.574 eV per atom; space group = R-3m (166); mass density = 6.48 g cm⁻³
1.0
-1.3599 -3.3618 -0.1394
2.1305 -2.8502 0.7124
-2.1734 -1.4860 9.7984
N La Sm
1 2 1
Direct
0.5000 0.5000 0.5000
0.8810 0.8810 0.3569
0.1190 0.1190 0.6431
0.0000 0.0000 0.0000